! PBE La2CoBr, optimized geometry; values from VASP
&SYSTEM
  ibrav = 0, nat = 4, ntyp = 3
/
ATOMIC_SPECIES
Co 58.93 Co.upf
La 138.91 La.upf
Br 79.90 Br.upf
ATOMIC_POSITIONS crystal
Co 0.250 0.750 0.500
La 0.030 0.030 0.000
La 0.470 0.470 0.000
Br 0.750 0.250 0.500
CELL_PARAMETERS angstrom
5.459 -0.010 0.022
0.226 5.454 -0.022
-1.873 -3.734 3.514
! Uncorrected energy (eV per atom): -5.13
! Fermi-level density of states (states/eV/atom): 0.53
! ΔE to the lowest computed polymorph (eV/f.u.): 1.43
! Density (g cm⁻³): 6.628
! Total magnetization (μB per cell): 0.0



! PBE LaCo2Br, optimized geometry; values from VASP
&SYSTEM
  ibrav = 0, nat = 4, ntyp = 3
/
ATOMIC_SPECIES
La 138.91 La.upf
Br 79.90 Br.upf
Co 58.93 Co.upf
ATOMIC_POSITIONS crystal
La 0.000 0.330 0.465
Br 0.500 0.698 0.724
Co 0.000 0.984 0.159
Co 0.500 0.487 0.153
CELL_PARAMETERS angstrom
-0.708 -2.271 2.592
2.857 1.110 1.753
-2.576 5.632 4.231
! Uncorrected energy (eV per atom): -5.34
! Fermi-level density of states (states/eV/atom): 0.68
! ΔE to the lowest computed polymorph (eV/f.u.): 0.53
! Density (g cm⁻³): 6.179
! Total magnetization (μB per cell): 2.6



! PBE LaCo4Br, optimized geometry; values from VASP
&SYSTEM
  ibrav = 0, nat = 6, ntyp = 3
/
ATOMIC_SPECIES
Co 58.93 Co.upf
Br 79.90 Br.upf
La 138.91 La.upf
ATOMIC_POSITIONS crystal
Co 0.375 0.375 0.874
Co 0.375 0.375 0.375
Co 0.874 0.375 0.375
Co 0.375 0.874 0.375
Br 0.000 0.000 0.000
La 0.750 0.750 0.750
CELL_PARAMETERS angstrom
0.000 3.646 3.646
3.646 0.000 3.646
3.646 3.646 0.000
! Uncorrected energy (eV per atom): -5.63
! Fermi-level density of states (states/eV/atom): 1.57
! Density (g cm⁻³): 7.784
! Total magnetization (μB per cell): 6.0



! PBE LaCo3Br, optimized geometry; values from VASP
&SYSTEM
  ibrav = 0, nat = 5, ntyp = 3
/
ATOMIC_SPECIES
Co 58.93 Co.upf
La 138.91 La.upf
Br 79.90 Br.upf
ATOMIC_POSITIONS crystal
Co 0.000 0.500 0.000
Co 0.500 0.000 0.000
Co 0.000 0.000 0.500
La 0.000 0.000 0.000
Br 0.500 0.500 0.500
CELL_PARAMETERS angstrom
4.819 0.000 0.000
0.000 4.819 0.000
0.000 0.000 4.819
! Uncorrected energy (eV per atom): -4.04
! Fermi-level density of states (states/eV/atom): 0.78
! ΔE to the lowest computed polymorph (eV/f.u.): 4.69
! Density (g cm⁻³): 5.870
! Total magnetization (μB per cell): 2.9



! PBE La2CoBr, optimized geometry; values from VASP
&SYSTEM
  ibrav = 0, nat = 4, ntyp = 3
/
ATOMIC_SPECIES
La 138.91 La.upf
Br 79.90 Br.upf
Co 58.93 Co.upf
ATOMIC_POSITIONS crystal
La 0.000 0.940 0.955
La 0.000 0.560 0.545
Br 0.500 0.250 0.250
Co 0.500 0.750 0.750
CELL_PARAMETERS angstrom
3.549 0.000 0.000
0.000 3.599 0.026
0.000 2.604 8.059
! Uncorrected energy (eV per atom): -5.31
! Fermi-level density of states (states/eV/atom): 0.99
! ΔE to the lowest computed polymorph (eV/f.u.): 0.71
! Density (g cm⁻³): 6.738
! Total magnetization (μB per cell): 0.0



! PBE La2CoBr, optimized geometry; values from VASP
&SYSTEM
  ibrav = 0, nat = 4, ntyp = 3
/
ATOMIC_SPECIES
Co 58.93 Co.upf
La 138.91 La.upf
Br 79.90 Br.upf
ATOMIC_POSITIONS crystal
Co 0.250 0.250 0.250
La 0.519 0.519 0.442
La 0.981 0.981 0.058
Br 0.750 0.750 0.750
CELL_PARAMETERS angstrom
4.062 0.010 0.009
2.023 3.523 0.009
2.021 1.173 7.924
! Uncorrected energy (eV per atom): -5.49
! Fermi-level density of states (states/eV/atom): 0.37
! ΔE to the lowest computed polymorph (eV/f.u.): 0.00
! Density (g cm⁻³): 6.114
! Total magnetization (μB per cell): 0.0



! PBE LaCoBr3, optimized geometry; values from VASP
&SYSTEM
  ibrav = 0, nat = 5, ntyp = 3
/
ATOMIC_SPECIES
Co 58.93 Co.upf
Br 79.90 Br.upf
La 138.91 La.upf
ATOMIC_POSITIONS crystal
Co 0.000 0.000 0.000
Br 0.500 0.000 0.000
Br 0.000 0.500 0.000
Br 0.000 0.000 0.500
La 0.500 0.500 0.500
CELL_PARAMETERS angstrom
4.897 0.000 0.000
0.000 4.897 0.000
0.000 0.000 4.897
! Uncorrected energy (eV per atom): -4.05
! Fermi-level density of states (states/eV/atom): 1.18
! Density (g cm⁻³): 6.187
! Total magnetization (μB per cell): 0.0



! PBE La3CoBr, optimized geometry; values from VASP
&SYSTEM
  ibrav = 0, nat = 10, ntyp = 3
/
ATOMIC_SPECIES
La 138.91 La.upf
Co 58.93 Co.upf
Br 79.90 Br.upf
ATOMIC_POSITIONS crystal
La 0.252 0.618 0.282
La 0.751 0.256 0.053
La 0.751 0.986 0.309
La 0.249 0.014 0.691
La 0.748 0.382 0.718
La 0.249 0.744 0.947
Co 0.750 0.634 0.084
Co 0.250 0.366 0.916
Br 0.250 0.302 0.383
Br 0.750 0.698 0.617
CELL_PARAMETERS angstrom
-3.114 1.183 -2.033
4.995 -0.089 -7.678
-4.106 -7.934 1.644
! Uncorrected energy (eV per atom): -5.28
! Fermi-level density of states (states/eV/atom): 0.71
! ΔE to the lowest computed polymorph (eV/f.u.): 0.00
! Density (g cm⁻³): 6.170
! Total magnetization (μB per cell): 0.0



! PBE La2CoBr, optimized geometry; values from VASP
&SYSTEM
  ibrav = 0, nat = 4, ntyp = 3
/
ATOMIC_SPECIES
Co 58.93 Co.upf
Br 79.90 Br.upf
La 138.91 La.upf
ATOMIC_POSITIONS crystal
Co 0.750 0.750 0.750
Br 0.500 0.500 0.500
La 0.250 0.250 0.250
La 0.000 0.000 0.000
CELL_PARAMETERS angstrom
5.125 0.000 0.000
2.562 4.438 0.000
2.562 1.479 4.185
! Uncorrected energy (eV per atom): -4.48
! Fermi-level density of states (states/eV/atom): 1.10
! ΔE to the lowest computed polymorph (eV/f.u.): 4.03
! Density (g cm⁻³): 7.269
! Total magnetization (μB per cell): 0.0



! PBE LaCo2Br, optimized geometry; values from VASP
&SYSTEM
  ibrav = 0, nat = 4, ntyp = 3
/
ATOMIC_SPECIES
Co 58.93 Co.upf
Br 79.90 Br.upf
La 138.91 La.upf
ATOMIC_POSITIONS crystal
Co 0.970 0.970 0.000
Co 0.827 0.327 0.500
Br 0.193 0.693 0.500
La 0.510 0.510 0.000
CELL_PARAMETERS angstrom
-5.188 0.749 0.424
-1.655 -0.677 -4.946
2.404 -2.787 3.756
! Uncorrected energy (eV per atom): -5.19
! Fermi-level density of states (states/eV/atom): 0.50
! ΔE to the lowest computed polymorph (eV/f.u.): 1.12
! Density (g cm⁻³): 6.729
! Total magnetization (μB per cell): 2.1



! PBE La2CoBr, optimized geometry; values from VASP
&SYSTEM
  ibrav = 0, nat = 4, ntyp = 3
/
ATOMIC_SPECIES
La 138.91 La.upf
Br 79.90 Br.upf
Co 58.93 Co.upf
ATOMIC_POSITIONS crystal
La 0.250 0.250 0.250
La 0.750 0.750 0.750
Br 0.500 0.500 0.500
Co 0.000 0.000 0.000
CELL_PARAMETERS angstrom
0.000 3.664 3.664
3.664 0.000 3.664
3.664 3.664 0.000
! Uncorrected energy (eV per atom): -5.01
! Fermi-level density of states (states/eV/atom): 1.04
! ΔE to the lowest computed polymorph (eV/f.u.): 1.93
! Density (g cm⁻³): 7.035
! Total magnetization (μB per cell): 0.0



! PBE LaCo2Br, optimized geometry; values from VASP
&SYSTEM
  ibrav = 0, nat = 8, ntyp = 3
/
ATOMIC_SPECIES
Br 79.90 Br.upf
La 138.91 La.upf
Co 58.93 Co.upf
ATOMIC_POSITIONS crystal
Br 0.250 0.750 0.500
Br 0.500 0.500 0.000
La 0.000 0.000 0.000
La 0.750 0.250 0.500
Co 0.432 0.625 0.250
Co 0.318 0.125 0.250
Co 0.375 0.682 0.750
Co 0.875 0.568 0.750
CELL_PARAMETERS angstrom
-3.327 2.119 2.433
-2.553 0.409 -3.846
-6.202 -5.517 0.737
! Uncorrected energy (eV per atom): -5.06
! Fermi-level density of states (states/eV/atom): 0.70
! ΔE to the lowest computed polymorph (eV/f.u.): 1.65
! Density (g cm⁻³): 6.795
! Total magnetization (μB per cell): 0.0



Number 12 is which compound?
LaCo2Br



Look up the total magnetization of the first one.
0.0 μB per cell



What did the sixth record say?
! PBE La2CoBr, optimized geometry; values from VASP
&SYSTEM
  ibrav = 0, nat = 4, ntyp = 3
/
ATOMIC_SPECIES
Co 58.93 Co.upf
La 138.91 La.upf
Br 79.90 Br.upf
ATOMIC_POSITIONS crystal
Co 0.250 0.250 0.250
La 0.519 0.519 0.442
La 0.981 0.981 0.058
Br 0.750 0.750 0.750
CELL_PARAMETERS angstrom
4.062 0.010 0.009
2.023 3.523 0.009
2.021 1.173 7.924
! Uncorrected energy (eV per atom): -5.49
! Fermi-level density of states (states/eV/atom): 0.37
! ΔE to the lowest computed polymorph (eV/f.u.): 0.00
! Density (g cm⁻³): 6.114
! Total magnetization (μB per cell): 0.0